(1)
# BeZn2SbS | Alexandria | PBE-GGA | relaxed
data_BeZn2SbS
_chemical_formula_sum 'Be1 Zn2 Sb1 S1'
_cell_length_a 4.642
_cell_length_b 5.347
_cell_length_c 4.642
_cell_angle_alpha 90.00
_cell_angle_beta 90.00
_cell_angle_gamma 90.00
_space_group_name_H-M_alt 'P 1'
_space_group_IT_number 1
loop_
_space_group_symop_operation_xyz
'x,y,z'
loop_
_atom_site_label
_atom_site_fract_x
_atom_site_fract_y
_atom_site_fract_z
_atom_site_occupancy
Sb1 0.000 0.500 0.000 1
Zn1 0.000 0.000 0.500 1
Zn2 0.500 0.000 0.000 1
S1 0.000 0.000 0.000 1
Be1 0.500 0.500 0.500 1
# - spin magnetization (μB/f.u.) = 0.0
# - energy (eV/atom) = -2.131
# - symmetry = P4/mmm (123)

=====

(2)
# ScBeS2 | Alexandria | PBE-GGA | relaxed
data_ScBeS2
_chemical_formula_sum 'Sc2 Be2 S4'
_cell_length_a 5.635
_cell_length_b 5.635
_cell_length_c 6.126
_cell_angle_alpha 62.62
_cell_angle_beta 62.62
_cell_angle_gamma 90.00
_space_group_name_H-M_alt 'P 1'
_space_group_IT_number 1
loop_
_space_group_symop_operation_xyz
'x,y,z'
loop_
_atom_site_label
_atom_site_fract_x
_atom_site_fract_y
_atom_site_fract_z
_atom_site_occupancy
Sc1 0.000 0.000 0.000 1
Sc2 0.750 0.250 0.500 1
Be1 0.500 0.500 0.000 1
Be2 0.250 0.750 0.500 1
S1 0.562 0.125 0.250 1
S2 0.188 0.625 0.250 1
S3 0.375 0.438 0.750 1
S4 0.875 0.812 0.750 1
# - spin magnetization (μB/f.u.) = 0.0
# - energy (eV/atom) = -5.728
# - symmetry = I-42d (122)

=====

(3)
# Sc3BeS | Alexandria | PBE-GGA | relaxed
data_Sc3BeS
_chemical_formula_sum 'Sc3 Be1 S1'
_cell_length_a 4.762
_cell_length_b 4.762
_cell_length_c 4.762
_cell_angle_alpha 90.00
_cell_angle_beta 90.00
_cell_angle_gamma 90.00
_space_group_name_H-M_alt 'P 1'
_space_group_IT_number 1
loop_
_space_group_symop_operation_xyz
'x,y,z'
loop_
_atom_site_label
_atom_site_fract_x
_atom_site_fract_y
_atom_site_fract_z
_atom_site_occupancy
Sc1 0.000 0.500 0.000 1
Sc2 0.000 0.000 0.500 1
Sc3 0.500 0.000 0.000 1
Be1 0.500 0.500 0.500 1
S1 0.000 0.000 0.000 1
# - spin magnetization (μB/f.u.) = 0.0
# - energy (eV/atom) = -5.779
# - symmetry = Pm-3m (221)

=====

(4)
# ScBe2S | Alexandria | PBE-GGA | relaxed
data_ScBe2S
_chemical_formula_sum 'Sc2 Be4 S2'
_cell_length_a 6.782
_cell_length_b 6.782
_cell_length_c 5.395
_cell_angle_alpha 51.05
_cell_angle_beta 51.05
_cell_angle_gamma 90.00
_space_group_name_H-M_alt 'P 1'
_space_group_IT_number 1
loop_
_space_group_symop_operation_xyz
'x,y,z'
loop_
_atom_site_label
_atom_site_fract_x
_atom_site_fract_y
_atom_site_fract_z
_atom_site_occupancy
Sc1 0.000 0.000 0.000 1
Sc2 0.750 0.250 0.500 1
Be1 0.561 0.125 0.250 1
Be2 0.189 0.625 0.250 1
Be3 0.375 0.439 0.750 1
Be4 0.875 0.811 0.750 1
S1 0.500 0.500 0.000 1
S2 0.250 0.750 0.500 1
# - spin magnetization (μB/f.u.) = 0.0
# - energy (eV/atom) = -4.701
# - symmetry = I-42d (122)

=====

(5)
# Sc6BeS5 | Alexandria | PBE-GGA | relaxed
data_Sc6BeS5
_chemical_formula_sum 'Sc6 Be1 S5'
_cell_length_a 6.388
_cell_length_b 6.405
_cell_length_c 6.396
_cell_angle_alpha 59.95
_cell_angle_beta 80.36
_cell_angle_gamma 70.46
_space_group_name_H-M_alt 'P 1'
_space_group_IT_number 1
loop_
_space_group_symop_operation_xyz
'x,y,z'
loop_
_atom_site_label
_atom_site_fract_x
_atom_site_fract_y
_atom_site_fract_z
_atom_site_occupancy
Sc1 0.758 0.080 0.322 1
Sc2 0.242 0.597 0.322 1
Sc3 0.243 0.241 0.000 1
Sc4 0.757 0.759 0.000 1
Sc5 0.758 0.403 0.678 1
Sc6 0.242 0.920 0.678 1
Be1 0.000 0.000 0.000 1
S1 0.500 0.171 0.659 1
S2 0.000 0.334 0.332 1
S3 0.500 0.500 0.000 1
S4 0.000 0.666 0.668 1
S5 0.500 0.829 0.341 1
# - spin magnetization (μB/f.u.) = 0.0
# - energy (eV/atom) = -6.776
# - symmetry = C2/m (12)

=====

(6)
# Sc5BeS4 | Alexandria | PBE-GGA | relaxed
data_Sc5BeS4
_chemical_formula_sum 'Sc5 Be1 S4'
_cell_length_a 5.218
_cell_length_b 6.387
_cell_length_c 6.387
_cell_angle_alpha 80.40
_cell_angle_beta 65.89
_cell_angle_gamma 65.89
_space_group_name_H-M_alt 'P 1'
_space_group_IT_number 1
loop_
_space_group_symop_operation_xyz
'x,y,z'
loop_
_atom_site_label
_atom_site_fract_x
_atom_site_fract_y
_atom_site_fract_z
_atom_site_occupancy
Sc1 0.904 0.391 0.804 1
Sc2 0.294 0.804 0.609 1
Sc3 0.708 0.196 0.391 1
Sc4 0.098 0.609 0.196 1
Sc5 0.501 0.000 0.000 1
Be1 0.001 0.000 0.000 1
S1 0.404 0.400 0.795 1
S2 0.803 0.795 0.600 1
S3 0.199 0.205 0.400 1
S4 0.598 0.600 0.205 1
# - spin magnetization (μB/f.u.) = 0.0
# - energy (eV/atom) = -6.699
# - symmetry = I4/m (87)

=====

(7)
# ScBeS | Alexandria | PBE-GGA | relaxed
data_ScBeS
_chemical_formula_sum 'Sc2 Be2 S2'
_cell_length_a 4.021
_cell_length_b 4.021
_cell_length_c 8.837
_cell_angle_alpha 76.85
_cell_angle_beta 76.85
_cell_angle_gamma 60.00
_space_group_name_H-M_alt 'P 1'
_space_group_IT_number 1
loop_
_space_group_symop_operation_xyz
'x,y,z'
loop_
_atom_site_label
_atom_site_fract_x
_atom_site_fract_y
_atom_site_fract_z
_atom_site_occupancy
Sc1 0.561 0.561 0.318 1
Sc2 0.439 0.439 0.682 1
S1 0.264 0.264 0.208 1
S2 0.736 0.736 0.792 1
Be1 0.824 0.824 0.527 1
Be2 0.176 0.176 0.473 1
# - spin magnetization (μB/f.u.) = 0.0
# - energy (eV/atom) = -5.723
# - symmetry = R-3m (166)

=====

(8)
# ScBeS2 | Alexandria | PBE-GGA | relaxed
data_ScBeS2
_chemical_formula_sum 'Sc1 Be1 S2'
_cell_length_a 7.041
_cell_length_b 7.041
_cell_length_c 7.041
_cell_angle_alpha 30.84
_cell_angle_beta 30.84
_cell_angle_gamma 30.84
_space_group_name_H-M_alt 'P 1'
_space_group_IT_number 1
loop_
_space_group_symop_operation_xyz
'x,y,z'
loop_
_atom_site_label
_atom_site_fract_x
_atom_site_fract_y
_atom_site_fract_z
_atom_site_occupancy
Sc1 0.500 0.500 0.500 1
Be1 0.000 0.000 0.000 1
S1 0.905 0.905 0.905 1
S2 0.095 0.095 0.095 1
# - spin magnetization (μB/f.u.) = 0.0
# - energy (eV/atom) = -5.627
# - symmetry = R-3m (166)